First-principles (GGA+U) data for crystalline UMnCo2O6 at its relaxed geometry, as listed in Alexandria.

Structure (POSCAR):
```
UMnCo2O6
1.0
4.079 0.000 0.000
0.000 5.996 0.000
0.000 0.000 5.996
Co O Mn U
2 6 1 1
Direct
0.745 0.500 0.000
0.745 0.000 0.500
0.745 0.751 0.751
0.745 0.249 0.751
0.244 0.000 0.000
0.745 0.751 0.249
0.745 0.249 0.249
0.245 0.500 0.500
0.745 0.500 0.500
0.744 0.000 0.000
```

Properties
DOS(E_F), states/eV per cell: 5.89
Electronic total energy, Ry per atom: -0.5479
Space-group type: No. 123
Magnetic moment, Bohr magnetons per cell: 9.2